NaSrPH18SO12 (PBE, optimized geometry); E = -5.1991 eV per atom
1.0
-9.5245 -4.6915 2.7446
2.4513 -8.6499 -6.2793
4.8512 -4.8402 8.5614
H O Sr Na P S
72 48 4 4 4 4
Direct
0.7995 0.4792 0.9397
0.4035 0.6070 0.3538
0.2995 0.0208 0.0603
0.7209 0.9551 0.5336
0.6862 0.6613 0.4033
0.4664 0.2209 0.5449
0.6462 0.9035 0.8930
0.0603 0.2995 0.0208
0.3538 0.4035 0.6070
0.8138 0.3387 0.9033
0.9837 0.7732 0.6698
0.1070 0.1462 0.5965
0.3448 0.3610 0.0560
0.6390 0.5560 0.1552
0.8448 0.1390 0.9440
0.4551 0.9664 0.2791
0.3610 0.0560 0.3448
0.7268 0.3302 0.4837
0.3387 0.9033 0.8138
0.0965 0.3930 0.8538
0.9551 0.5336 0.7209
0.4837 0.7268 0.3302
0.1552 0.6390 0.5560
0.9440 0.8448 0.1390
0.6698 0.9837 0.7732
0.0449 0.0336 0.7791
0.6613 0.4033 0.6862
0.8302 0.0163 0.2732
0.0560 0.3448 0.3610
0.2732 0.8302 0.0163
0.1698 0.5163 0.2268
0.0163 0.2732 0.8302
0.1462 0.5965 0.1070
0.8610 0.4440 0.6552
0.4792 0.9397 0.7995
0.2268 0.1698 0.5163
0.6552 0.8610 0.4440
0.1613 0.0967 0.3138
0.6070 0.3538 0.4035
0.9397 0.7995 0.4792
0.5336 0.7209 0.9551
0.5560 0.1552 0.6390
0.7791 0.0449 0.0336
0.9033 0.8138 0.3387
0.2791 0.4551 0.9664
0.5967 0.1862 0.8387
0.1390 0.9440 0.8448
0.9664 0.2791 0.4551
0.8387 0.5967 0.1862
0.8930 0.6462 0.9035
0.0967 0.3138 0.1613
0.8538 0.0965 0.3930
0.9792 0.5603 0.2005
0.5449 0.4664 0.2209
0.3930 0.8538 0.0965
0.7005 0.5208 0.4397
0.5965 0.1070 0.1462
0.5208 0.4397 0.7005
0.1862 0.8387 0.5967
0.5603 0.2005 0.9792
0.3138 0.1613 0.0967
0.0208 0.0603 0.2995
0.4397 0.7005 0.5208
0.9035 0.8930 0.6462
0.2005 0.9792 0.5603
0.4440 0.6552 0.8610
0.4033 0.6862 0.6613
0.0336 0.7791 0.0449
0.7732 0.6698 0.9837
0.3302 0.4837 0.7268
0.2209 0.5449 0.4664
0.5163 0.2268 0.1698
0.6573 0.8924 0.5297
0.6267 0.7762 0.3162
0.3924 0.9703 0.3427
0.3950 0.9665 0.7803
0.3733 0.2762 0.1838
0.6424 0.9012 0.8027
0.8162 0.8733 0.2238
0.9012 0.8027 0.6424
0.6076 0.4703 0.1573
0.1424 0.5988 0.1973
0.2197 0.8950 0.5335
0.6838 0.1267 0.7238
0.5335 0.2197 0.8950
0.2762 0.1838 0.3733
0.8950 0.5335 0.2197
0.2803 0.1050 0.0335
0.4703 0.1573 0.6076
0.4665 0.7197 0.6050
0.1573 0.6076 0.4703
0.4012 0.6973 0.3576
0.5297 0.6573 0.8924
0.0988 0.3027 0.8576
0.9703 0.3427 0.3924
0.5988 0.1973 0.1424
0.3576 0.4012 0.6973
0.3027 0.8576 0.0988
0.1267 0.7238 0.6838
0.1076 0.0297 0.8427
0.2238 0.8162 0.8733
0.7238 0.6838 0.1267
0.7762 0.3162 0.6267
0.6050 0.4665 0.7197
0.6973 0.3576 0.4012
0.3427 0.3924 0.9703
0.1973 0.1424 0.5988
0.8576 0.0988 0.3027
0.8427 0.1076 0.0297
0.7197 0.6050 0.4665
0.8027 0.6424 0.9012
0.8733 0.2238 0.8162
0.0297 0.8427 0.1076
0.3162 0.6267 0.7762
0.7803 0.3950 0.9665
0.0335 0.2803 0.1050
0.9665 0.7803 0.3950
0.1838 0.3733 0.2762
0.8924 0.5297 0.6573
0.1050 0.0335 0.2803
0.3092 0.1908 0.8092
0.1908 0.8092 0.3092
0.8092 0.3092 0.1908
0.6908 0.6908 0.6908
0.5597 0.4403 0.9403
0.9403 0.5597 0.4403
0.4403 0.9403 0.5597
0.0597 0.0597 0.0597
0.3041 0.3041 0.3041
0.6959 0.8041 0.1959
0.1959 0.6959 0.8041
0.8041 0.1959 0.6959
0.4130 0.4130 0.4130
0.0870 0.5870 0.9130
0.9130 0.0870 0.5870
0.5870 0.9130 0.0870